(1)
# PrZn4Ni6

Crystalline PrZn4Ni6 at its relaxed geometry (PBE-GGA, the Alexandria database).

total magnetic moment	0.00	μB/f.u.
energy	-4.2165	eV per atom
symmetry	P-6m2 (187)
N(E_F)	6.258	states/eV/cell

a b c (Å): 3.9489 6.7651 6.7651
angles (deg): 120.00 90.00 90.00
Atoms (fractional coordinates):
Pr: 0.0000 0.0000 0.0000
Zn: 0.5000 0.7940 0.5881
Zn: 0.5000 0.4119 0.2060
Zn: 0.5000 0.7940 0.2060
Zn: 0.0000 0.3333 0.6667
Ni: 0.0000 0.5350 0.0699
Ni: 0.5000 0.5814 0.7907
Ni: 0.0000 0.5350 0.4650
Ni: 0.0000 0.9301 0.4650
Ni: 0.5000 0.2093 0.7907
Ni: 0.5000 0.2093 0.4186

***

(2)
# PrZnNi

Crystalline PrZnNi at its relaxed geometry (PBE-GGA, the Alexandria database).

total magnetic moment	0.00	μB/f.u.
energy	-4.1291	eV per atom
symmetry	F-43m (216)
N(E_F)	2.857	states/eV/cell

a b c (Å): 4.5476 4.5476 4.5476
angles (deg): 60.00 60.00 60.00
Atoms (fractional coordinates):
Pr: 0.5000 0.5000 0.5000
Ni: 0.2500 0.2500 0.2500
Zn: 0.0000 0.0000 0.0000

***

(3)
# Pr2ZnNi9

Crystalline Pr2ZnNi9 at its relaxed geometry (PBE-GGA, the Alexandria database).

total magnetic moment	2.04	μB/f.u.
energy	-5.3579	eV per atom
symmetry	R-3m (166)
N(E_F)	11.032	states/eV/cell

a b c (Å): 4.9532 4.9532 8.6925
angles (deg): 73.45 73.45 60.00
Site moments in Bohr magnetons follow the coordinates.
Atoms (fractional coordinates):
Pr: 0.8663 0.8663 0.4011  -0.05
Pr: 0.1337 0.1337 0.5989  -0.05
Zn: 0.0000 0.0000 0.0000  -0.01
Ni: 0.6673 0.6673 0.9981  0.45
Ni: 0.3327 0.3327 0.0019  0.45
Ni: 0.5000 0.5000 0.5000  0.08
Ni: 0.4214 0.4214 0.2367  0.23
Ni: 0.9205 0.4214 0.2367  0.23
Ni: 0.4214 0.9205 0.2367  0.23
Ni: 0.5786 0.5786 0.7633  0.23
Ni: 0.5786 0.0795 0.7633  0.23
Ni: 0.0795 0.5786 0.7633  0.23

***

(4)
# Pr3ZnNi2

Crystalline Pr3ZnNi2 at its relaxed geometry (PBE-GGA, the Alexandria database).

total magnetic moment	0.00	μB/f.u.
energy	-4.7157	eV per atom
symmetry	Cmce (64)
N(E_F)	20.986	states/eV/cell

a b c (Å): 8.4313 9.2047 8.4274
angles (deg): 90.00 114.97 90.00
Atoms (fractional coordinates):
Pr: 0.3373 0.9499 0.0916
Pr: 0.1627 0.4499 0.4084
Pr: 0.6627 0.0501 0.9084
Pr: 0.8373 0.5501 0.5916
Pr: 0.4088 0.5506 0.1627
Pr: 0.0912 0.0506 0.3373
Pr: 0.5912 0.4494 0.8373
Pr: 0.9088 0.9494 0.6627
Pr: 0.8365 0.7175 0.1634
Pr: 0.6635 0.2175 0.3366
Pr: 0.1635 0.2825 0.8366
Pr: 0.3365 0.7825 0.6634
Zn: 0.5474 0.8179 0.4528
Zn: 0.9526 0.3179 0.0472
Zn: 0.4526 0.1821 0.5472
Zn: 0.0474 0.6821 0.9528
Ni: 0.7122 0.9363 0.2876
Ni: 0.7878 0.4363 0.2124
Ni: 0.2878 0.0637 0.7124
Ni: 0.2122 0.5637 0.7876
Ni: 0.2163 0.7502 0.2836
Ni: 0.2837 0.2502 0.2164
Ni: 0.7837 0.2498 0.7164
Ni: 0.7163 0.7498 0.7836

***

(5)
# PrZn2Ni9

Crystalline PrZn2Ni9 at its relaxed geometry (PBE-GGA, the Alexandria database).

total magnetic moment	2.91	μB/f.u.
energy	-5.1439	eV per atom
symmetry	P4/mbm (127)
N(E_F)	34.217	states/eV/cell

a b c (Å): 4.7740 8.1184 8.1184
angles (deg): 90.00 90.00 90.00
Site moments in Bohr magnetons follow the coordinates.
Atoms (fractional coordinates):
Pr: 0.0000 0.5000 0.5000  -0.05
Pr: 0.0000 0.0000 0.0000  -0.05
Zn: 0.0000 0.6171 0.1171  -0.01
Zn: 0.0000 0.3829 0.8829  -0.01
Zn: 0.0000 0.1171 0.3829  -0.01
Zn: 0.0000 0.8829 0.6171  -0.01
Ni: 0.5000 0.5000 0.0000  0.33
Ni: 0.5000 0.0000 0.5000  0.33
Ni: 0.5000 0.7122 0.5656  0.37
Ni: 0.5000 0.2878 0.4344  0.37
Ni: 0.5000 0.2122 0.9344  0.37
Ni: 0.5000 0.7878 0.0656  0.37
Ni: 0.5000 0.4344 0.7122  0.37
Ni: 0.5000 0.5656 0.2878  0.37
Ni: 0.5000 0.0656 0.2122  0.37
Ni: 0.5000 0.9344 0.7878  0.37
Ni: 0.7564 0.8221 0.3221  0.34
Ni: 0.7564 0.1779 0.6779  0.34
Ni: 0.7564 0.3221 0.1779  0.34
Ni: 0.7564 0.6779 0.8221  0.34
Ni: 0.2436 0.1779 0.6779  0.34
Ni: 0.2436 0.8221 0.3221  0.34
Ni: 0.2436 0.6779 0.8221  0.34
Ni: 0.2436 0.3221 0.1779  0.34

***

(6)
# PrZn3Ni

Crystalline PrZn3Ni at its relaxed geometry (PBE-GGA, the Alexandria database).

total magnetic moment	0.00	μB/f.u.
energy	-3.1119	eV per atom
symmetry	Pm-3m (221)
N(E_F)	3.698	states/eV/cell

a b c (Å): 4.6007 4.6007 4.6007
angles (deg): 90.00 90.00 90.00
Atoms (fractional coordinates):
Pr: 0.5000 0.5000 0.5000
Ni: 0.0000 0.0000 0.0000
Zn: 0.0000 0.5000 0.0000
Zn: 0.0000 0.0000 0.5000
Zn: 0.5000 0.0000 0.0000

***

(7)
# PrZnNi

Crystalline PrZnNi at its relaxed geometry (PBE-GGA, the Alexandria database).

total magnetic moment	0.00	μB/f.u.
energy	-4.3065	eV per atom
symmetry	P-62m (189)
N(E_F)	5.780	states/eV/cell

a b c (Å): 7.2594 7.2594 3.8837
angles (deg): 90.00 90.00 120.00
Atoms (fractional coordinates):
Pr: 0.5856 0.0000 0.5000
Pr: 0.4144 0.4144 0.5000
Pr: 0.0000 0.5856 0.5000
Zn: 0.2325 0.0000 0.0000
Zn: 0.7675 0.7675 0.0000
Zn: 0.0000 0.2325 0.0000
Ni: 0.0000 0.0000 0.5000
Ni: 0.3333 0.6667 0.0000
Ni: 0.6667 0.3333 0.0000

***

(8)
# Pr2Zn5Ni3

Crystalline Pr2Zn5Ni3 at its relaxed geometry (PBE-GGA, the Alexandria database).

total magnetic moment	0.00	μB/f.u.
energy	-3.6066	eV per atom
symmetry	P-4m2 (115)
N(E_F)	7.134	states/eV/cell

a b c (Å): 4.0095 4.0095 11.0705
angles (deg): 90.00 90.00 90.00
Atoms (fractional coordinates):
Pr: 0.5000 0.0000 0.2742
Pr: 0.0000 0.5000 0.7258
Zn: 0.5000 0.5000 0.0000
Zn: 0.0000 0.0000 0.0000
Zn: 0.5000 0.0000 0.8504
Zn: 0.0000 0.5000 0.1496
Zn: 0.5000 0.5000 0.5000
Ni: 0.5000 0.0000 0.6286
Ni: 0.0000 0.5000 0.3714
Ni: 0.0000 0.0000 0.5000

***

(9)
# Pr2ZnNi

Crystalline Pr2ZnNi at its relaxed geometry (PBE-GGA, the Alexandria database).

total magnetic moment	0.00	μB/f.u.
energy	-4.3911	eV per atom
symmetry	P4/mmm (123)
N(E_F)	4.274	states/eV/cell

a b c (Å): 3.6167 3.6167 7.2719
angles (deg): 90.00 90.00 90.00
Atoms (fractional coordinates):
Pr: 0.0000 0.0000 0.7665
Pr: 0.0000 0.0000 0.2335
Ni: 0.5000 0.5000 0.0000
Zn: 0.5000 0.5000 0.5000

***

(10)
# Pr3Zn7Ni2

Crystalline Pr3Zn7Ni2 at its relaxed geometry (PBE-GGA, the Alexandria database).

total magnetic moment	0.00	μB/f.u.
energy	-3.1975	eV per atom
symmetry	R-3m (166)
N(E_F)	6.787	states/eV/cell

a b c (Å): 5.5343 5.5343 9.0110
angles (deg): 72.12 72.12 60.00
Atoms (fractional coordinates):
Pr: 0.0000 0.0000 0.0000
Pr: 0.8492 0.8492 0.4525
Pr: 0.1508 0.1508 0.5475
Zn: 0.5000 0.5000 0.5000
Zn: 0.9138 0.4290 0.2281
Zn: 0.4290 0.9138 0.2281
Zn: 0.4290 0.4290 0.2281
Zn: 0.0862 0.5710 0.7719
Zn: 0.5710 0.5710 0.7719
Zn: 0.5710 0.0862 0.7719
Ni: 0.6691 0.6691 0.9928
Ni: 0.3309 0.3309 0.0072

***

(11)
# Pr2Zn2Ni3

Crystalline Pr2Zn2Ni3 at its relaxed geometry (PBE-GGA, the Alexandria database).

total magnetic moment	0.00	μB/f.u.
energy	-4.4941	eV per atom
symmetry	C2/m (12)
N(E_F)	5.589	states/eV/cell

a b c (Å): 4.1266 5.6441 6.5795
angles (deg): 106.69 90.00 111.44
Atoms (fractional coordinates):
Pr: 0.8341 0.6683 0.2854
Pr: 0.1659 0.3317 0.7146
Zn: 0.8977 0.7954 0.8119
Zn: 0.1023 0.2046 0.1881
Ni: 0.5000 0.0000 0.0000
Ni: 0.5631 0.1262 0.3788
Ni: 0.4369 0.8738 0.6212

***

(12)
# Pr3Zn2Ni4

Crystalline Pr3Zn2Ni4 at its relaxed geometry (PBE-GGA, the Alexandria database).

total magnetic moment	0.00	μB/f.u.
energy	-4.7955	eV per atom
symmetry	C2/m (12)
N(E_F)	5.647	states/eV/cell

a b c (Å): 4.1900 5.4229 8.4222
angles (deg): 98.46 90.00 112.73
Atoms (fractional coordinates):
Pr: 0.3756 0.7511 0.6231
Pr: 0.0000 0.0000 0.0000
Pr: 0.6244 0.2489 0.3769
Zn: 0.3200 0.6399 0.2177
Zn: 0.6800 0.3601 0.7823
Ni: 0.7344 0.4687 0.0831
Ni: 0.0839 0.1678 0.6350
Ni: 0.9161 0.8322 0.3650
Ni: 0.2656 0.5313 0.9169

***

Listing calculated volume for the structures above in their given order: 14.2; 22.2; 14.5; 24.7; 13.1; 19.5; 19.7; 17.8; 23.8; 18.6; 19.4; 19.4 A^3/atom.